1.
! ScFeAg2 | Alexandria | PBE | relaxed; values from VASP
&SYSTEM
  ibrav = 0, nat = 12, ntyp = 3
/
ATOMIC_SPECIES
Sc 44.96 Sc.upf
Fe 55.84 Fe.upf
Ag 107.87 Ag.upf
ATOMIC_POSITIONS crystal
Sc 0.0000 0.0000 0.0000
Sc 0.3333 0.6667 0.6667
Sc 0.6667 0.3333 0.3333
Fe 0.0000 0.0000 0.5000
Fe 0.3333 0.6667 0.1667
Fe 0.6667 0.3333 0.8333
Ag 0.0000 0.0000 0.2451
Ag 0.0000 0.0000 0.7549
Ag 0.3333 0.6667 0.4216
Ag 0.3333 0.6667 0.9117
Ag 0.6667 0.3333 0.0883
Ag 0.6667 0.3333 0.5784
CELL_PARAMETERS angstrom
2.9459 0.0000 0.0000
-1.4729 2.5512 0.0000
0.0000 0.0000 28.2185
! E_form, eV/atom: 0.2885
! Space group: No. 166
! DFT total energy, eV/atom: -4.8356
! N(E_F), states/eV/f.u.: 4.7

---

2.
! Sc2FeAg | Alexandria | PBE | relaxed; values from VASP
&SYSTEM
  ibrav = 0, nat = 12, ntyp = 3
/
ATOMIC_SPECIES
Sc 44.96 Sc.upf
Fe 55.84 Fe.upf
Ag 107.87 Ag.upf
ATOMIC_POSITIONS crystal
Sc 0.0000 0.0000 0.1015
Sc 0.0000 0.0000 0.8985
Sc 0.3333 0.6667 0.5651
Sc 0.3333 0.6667 0.7682
Sc 0.6667 0.3333 0.2318
Sc 0.6667 0.3333 0.4349
Fe 0.0000 0.0000 0.5000
Fe 0.3333 0.6667 0.1667
Fe 0.6667 0.3333 0.8333
Ag 0.0000 0.0000 0.0000
Ag 0.3333 0.6667 0.6667
Ag 0.6667 0.3333 0.3333
CELL_PARAMETERS angstrom
3.0921 0.0000 0.0000
-1.5460 2.6778 0.0000
0.0000 0.0000 27.9316
! E_form, eV/atom: 0.2090
! Space group: No. 166
! DFT total energy, eV/atom: -5.7853
! N(E_F), states/eV/f.u.: 3.2

---

3.
! Sc2FeAg | Alexandria | PBE | relaxed; values from VASP
&SYSTEM
  ibrav = 0, nat = 4, ntyp = 3
/
ATOMIC_SPECIES
Sc 44.96 Sc.upf
Fe 55.84 Fe.upf
Ag 107.87 Ag.upf
ATOMIC_POSITIONS crystal
Sc 0.0000 0.0000 0.0000
Sc 0.5000 0.5000 0.3280
Fe 0.5000 0.5000 0.8421
Ag 0.0000 0.0000 0.5477
CELL_PARAMETERS angstrom
3.5314 0.0000 0.0000
0.0000 3.5801 0.0000
0.0000 0.0000 6.0442
! E_form, eV/atom: 0.0610
! Space group: No. 25
! DFT total energy, eV/atom: -5.9333
! N(E_F), states/eV/f.u.: 3.4